(1)
# SbSeCl2, optimized geometry, DFT PBE
# **Raw formation energy**: -59 meV per atom
# **Calculated total energy**: -2.884 eV/atom
# **E above lowest polymorph**: 1.33 eV/f.u.
data_SbSeCl2
_cell_length_a 4.965
_cell_length_b 4.965
_cell_length_c 7.006
_cell_angle_alpha 90.00
_cell_angle_beta 90.00
_cell_angle_gamma 90.00
_symmetry_space_group_name_H-M 'I -4 m 2'
_symmetry_Int_Tables_number 119
_symmetry_space_group_name_Hall 'I -4 -2'
loop_
_atom_site_label
_atom_site_type_symbol
_atom_site_fract_x
_atom_site_fract_y
_atom_site_fract_z
Sb1 Sb 0.000 0.000 0.000
Se1 Se 0.000 0.500 0.750
Cl1 Cl 0.000 0.000 0.500
Cl2 Cl 0.000 0.500 0.250

(2)
# NaNb2Os, optimized geometry, DFT PBE
# **Calculated total energy**: -7.707 eV/atom
# **Formation enthalpy at 0 K**: 0.465 eV/atom
# **E above lowest polymorph**: 0.00 eV/f.u.
data_NaNb2Os
_cell_length_a 6.494
_cell_length_b 6.494
_cell_length_c 6.494
_cell_angle_alpha 90.00
_cell_angle_beta 90.00
_cell_angle_gamma 90.00
_symmetry_space_group_name_H-M 'F m -3 m'
_symmetry_Int_Tables_number 225
_symmetry_space_group_name_Hall '-F 4 2 3'
loop_
_atom_site_label
_atom_site_type_symbol
_atom_site_fract_x
_atom_site_fract_y
_atom_site_fract_z
Na1 Na 0.000 0.000 0.000
Nb1 Nb 0.250 0.250 0.250
Os1 Os 0.000 0.000 0.500

(3)
# Mg5In2HgAu2, optimized geometry, DFT PBE
# **Calculated total energy**: -2.314 eV/atom
# **Formation enthalpy at 0 K**: -0.283 eV/atom
data_Mg5In2HgAu2
_cell_length_a 11.080
_cell_length_b 11.080
_cell_length_c 3.612
_cell_angle_alpha 90.00
_cell_angle_beta 90.00
_cell_angle_gamma 90.00
_symmetry_space_group_name_H-M 'P 4/m b m'
_symmetry_Int_Tables_number 127
_symmetry_space_group_name_Hall '-P 4 2ab'
loop_
_atom_site_label
_atom_site_type_symbol
_atom_site_fract_x
_atom_site_fract_y
_atom_site_fract_z
Mg1 Mg 0.000 0.500 0.000
Mg2 Mg 0.054 0.202 0.000
In1 In 0.178 0.678 0.500
Hg1 Hg 0.000 0.000 0.500
Au1 Au 0.131 0.369 0.500

(4)
# Pm2NdAg2Pb2, optimized geometry, DFT PBE
# **Calculated total energy**: -4.216 eV/atom
# **Formation enthalpy at 0 K**: -0.303 eV/atom
data_Pm2NdAg2Pb2
_cell_length_a 4.9890
_cell_length_b 4.9890
_cell_length_c 26.7855
_cell_angle_alpha 90.00
_cell_angle_beta 90.00
_cell_angle_gamma 120.00
_symmetry_space_group_name_H-M 'R -3 m'
_symmetry_Int_Tables_number 166
_symmetry_space_group_name_Hall '-R 3 2"'
loop_
_atom_site_label
_atom_site_type_symbol
_atom_site_fract_x
_atom_site_fract_y
_atom_site_fract_z
Pm1 Pm 0.0000 0.0000 0.1357
Nd1 Nd 0.0000 0.0000 0.0000
Ag1 Ag 0.0000 0.0000 0.4390
Pb1 Pb 0.0000 0.0000 0.2673